1.
A PBEsol-optimized structure of Al2Tc2Ge. Source: the Alexandria database, functional SCAN.

Cell: 6.5511 6.5511 3.4641 Å, 90.00 90.00 90.00°
Atoms (fractional coordinates):
Al  0.1430  0.3570  0.0000
Al  0.3570  0.8570  0.0000
Al  0.6430  0.1430  0.0000
Al  0.8570  0.6430  0.0000
Tc  0.1581  0.6581  0.5000
Tc  0.3419  0.1581  0.5000
Tc  0.6581  0.8419  0.5000
Tc  0.8419  0.3419  0.5000
Ge  0.0000  0.0000  0.5000
Ge  0.5000  0.5000  0.5000

Computed properties:
Calculated formation energy (eV per atom): -0.394
Final energy (eV per atom): -21.34


2.
A PBEsol-optimized structure of Au5C. Source: the Alexandria database, functional SCAN.

Cell: 2.8915 2.8915 11.0276 Å, 90.00 90.00 90.00°
Atoms (fractional coordinates):
Au  0.0000  0.0000  0.0000
Au  0.0000  0.0000  0.3724
Au  0.0000  0.0000  0.6276
Au  0.5000  0.5000  0.1850
Au  0.5000  0.5000  0.8150
C  0.5000  0.5000  0.5000

Computed properties:
Calculated formation energy (eV per atom): 0.827
Final energy (eV per atom): -58.49


3.
A PBEsol-optimized structure of BaRh2Se. Source: the Alexandria database, functional SCAN.

Cell: 4.1663 4.1663 5.2187 Å, 90.00 90.00 90.00°
Atoms (fractional coordinates):
Ba  0.0000  0.0000  0.0000
Rh  0.0000  0.5000  0.4641
Rh  0.5000  0.0000  0.4641
Se  0.5000  0.5000  0.6704

Computed properties:
Final energy (eV per atom): -32.39
Formation energy from raw total energies (eV/atom): -0.594


4.
A PBEsol-optimized structure of Ba2LiCa. Source: the Alexandria database, functional SCAN.

Cell: 4.2151 4.2151 10.0644 Å, 90.00 90.00 90.00°
Atoms (fractional coordinates):
Ba  0.0000  0.0000  0.0000
Ba  0.5000  0.5000  0.3263
Li  0.5000  0.5000  0.7754
Ca  0.0000  0.0000  0.6085

Computed properties:
Calculated formation energy (eV per atom): 0.032
Final energy (eV per atom): -22.76


5.
A PBEsol-optimized structure of Tl3HgPd. Source: the Alexandria database, functional SCAN.

Cell: 5.2327 5.2327 5.2327 Å, 90.00 90.00 90.00°
Atoms (fractional coordinates):
Tl  0.0000  0.0000  0.5000
Tl  0.0000  0.5000  0.0000
Tl  0.5000  0.0000  0.0000
Hg  0.5000  0.5000  0.5000
Pd  0.0000  0.0000  0.0000

Computed properties:
Calculated formation energy (eV per atom): -0.036
Final energy (eV per atom): -63.64


6.
A PBEsol-optimized structure of LiFePO4. Source: the Alexandria database, functional SCAN.

Cell: 4.7388 7.5017 9.0153 Å, 90.00 90.00 90.00°
Atoms (fractional coordinates):
Li  0.0900  0.1331  0.4853
Li  0.4100  0.8669  0.9853
Li  0.5900  0.3669  0.5147
Li  0.9100  0.6331  0.0147
Fe  0.1954  0.7413  0.5814
Fe  0.3046  0.2587  0.0814
Fe  0.6954  0.7587  0.4186
Fe  0.8046  0.2413  0.9186
P  0.1429  0.4884  0.3261
P  0.3571  0.5116  0.8261
P  0.6429  0.0116  0.6739
P  0.8571  0.9884  0.1739
O  0.1361  0.4844  0.1543
O  0.1563  0.0121  0.1071
O  0.1916  0.3396  0.8769
O  0.2185  0.6841  0.8787
O  0.2815  0.3159  0.3787
O  0.3084  0.6604  0.3769
O  0.3437  0.9879  0.6071
O  0.3639  0.5156  0.6543
O  0.6361  0.0156  0.8457
O  0.6563  0.4879  0.8929
O  0.6916  0.1604  0.1231
O  0.7185  0.8159  0.1213
O  0.7815  0.1841  0.6213
O  0.8084  0.8396  0.6231
O  0.8437  0.5121  0.3929
O  0.8639  0.9844  0.3457

Computed properties:
Final energy (eV per atom): -10.19
Formation energy from raw total energies (eV/atom): -2.215


7.
A PBEsol-optimized structure of BaPr2In2O7. Source: the Alexandria database, functional SCAN.

Cell: 5.9059 5.9059 20.5767 Å, 90.00 90.00 90.00°
Atoms (fractional coordinates):
Ba  0.2403  0.2403  0.0000
Ba  0.2597  0.7403  0.5000
Ba  0.7403  0.2597  0.5000
Ba  0.7597  0.7597  0.0000
Pr  0.2220  0.2220  0.1853
Pr  0.2220  0.2220  0.8147
Pr  0.2780  0.7220  0.3147
Pr  0.2780  0.7220  0.6853
Pr  0.7220  0.2780  0.3147
Pr  0.7220  0.2780  0.6853
Pr  0.7780  0.7780  0.1853
Pr  0.7780  0.7780  0.8147
In  0.2411  0.2411  0.3975
In  0.2411  0.2411  0.6025
In  0.2589  0.7411  0.1025
In  0.2589  0.7411  0.8975
In  0.7411  0.2589  0.1025
In  0.7411  0.2589  0.8975
In  0.7589  0.7589  0.3975
In  0.7589  0.7589  0.6025
O  0.0000  0.0000  0.0913
O  0.0000  0.0000  0.3640
O  0.0000  0.0000  0.6360
O  0.0000  0.0000  0.9087
O  0.0000  0.5000  0.1165
O  0.0000  0.5000  0.3835
O  0.0000  0.5000  0.6165
O  0.0000  0.5000  0.8835
O  0.1812  0.8188  0.2108
O  0.1812  0.8188  0.7892
O  0.2021  0.2021  0.5000
O  0.2979  0.7021  0.0000
O  0.3188  0.3188  0.2892
O  0.3188  0.3188  0.7108
O  0.5000  0.0000  0.1165
O  0.5000  0.0000  0.3835
O  0.5000  0.0000  0.6165
O  0.5000  0.0000  0.8835
O  0.5000  0.5000  0.1360
O  0.5000  0.5000  0.4087
O  0.5000  0.5000  0.5913
O  0.5000  0.5000  0.8640
O  0.6812  0.6812  0.2892
O  0.6812  0.6812  0.7108
O  0.7021  0.2979  0.0000
O  0.7979  0.7979  0.5000
O  0.8188  0.1812  0.2108
O  0.8188  0.1812  0.7892

Computed properties:
Final energy (eV per atom): -22.49
Formation energy from raw total energies (eV/atom): -2.772


8.
A PBEsol-optimized structure of GaHRh3. Source: the Alexandria database, functional SCAN.

Cell: 3.8398 3.8398 3.8398 Å, 90.00 90.00 90.00°
Atoms (fractional coordinates):
Ga  0.0000  0.0000  0.0000
H  0.5000  0.5000  0.5000
Rh  0.0000  0.5000  0.5000
Rh  0.5000  0.0000  0.5000
Rh  0.5000  0.5000  0.0000

Computed properties:
Final energy (eV per atom): -24.49


9.
A PBEsol-optimized structure of KMo2Au. Source: the Alexandria database, functional SCAN.

Cell: 2.7032 2.7032 10.2361 Å, 90.00 90.00 90.00°
Atoms (fractional coordinates):
K  0.0000  0.0000  0.0000
Mo  0.0000  0.0000  0.5210
Mo  0.5000  0.5000  0.3075
Au  0.5000  0.5000  0.7287

Computed properties:
Calculated formation energy (eV per atom): 0.633
Final energy (eV per atom): -36.18


10.
A PBEsol-optimized structure of MgZr3H. Source: the Alexandria database, functional SCAN.

Cell: 4.4456 4.4456 4.4456 Å, 90.00 90.00 90.00°
Atoms (fractional coordinates):
Mg  0.0000  0.0000  0.0000
Zr  0.0000  0.5000  0.5000
Zr  0.5000  0.0000  0.5000
Zr  0.5000  0.5000  0.0000
H  0.5000  0.5000  0.5000

Computed properties:
Final energy (eV per atom): -20.28


11.
A PBEsol-optimized structure of In11S16. Source: the Alexandria database, functional SCAN.

Cell: 7.6458 7.6458 10.8362 Å, 90.00 90.00 90.00°
Atoms (fractional coordinates):
In  0.0000  0.0000  0.0000
In  0.0000  0.2690  0.6220
In  0.0000  0.5000  0.2552
In  0.0000  0.7310  0.6220
In  0.2532  0.5000  0.8649
In  0.2690  0.0000  0.3780
In  0.5000  0.0000  0.7448
In  0.5000  0.2532  0.1351
In  0.5000  0.7468  0.1351
In  0.7310  0.0000  0.3780
In  0.7468  0.5000  0.8649
S  0.0000  0.2253  0.3816
S  0.0000  0.2641  0.8690
S  0.0000  0.7359  0.8690
S  0.0000  0.7747  0.3816
S  0.2253  0.0000  0.6184
S  0.2419  0.5000  0.6322
S  0.2629  0.5000  0.1115
S  0.2641  0.0000  0.1310
S  0.5000  0.2419  0.3678
S  0.5000  0.2629  0.8885
S  0.5000  0.7371  0.8885
S  0.5000  0.7581  0.3678
S  0.7359  0.0000  0.1310
S  0.7371  0.5000  0.1115
S  0.7581  0.5000  0.6322
S  0.7747  0.0000  0.6184

Computed properties:
Final energy (eV per atom): -19.98
Formation energy from raw total energies (eV/atom): -0.670


12.
A PBEsol-optimized structure of LiTcAg. Source: the Alexandria database, functional SCAN.

Cell: 4.0521 4.0521 4.0521 Å, 60.00 60.00 60.00°
Atoms (fractional coordinates):
Li  0.0000  0.0000  0.0000
Tc  0.2500  0.2500  0.2500
Ag  0.7500  0.7500  0.7500

Computed properties:
Calculated formation energy (eV per atom): 1.040
Final energy (eV per atom): -21.90


13.
A PBEsol-optimized structure of NbInSe2. Source: the Alexandria database, functional SCAN.

Cell: 3.3967 3.3967 9.1588 Å, 90.00 90.00 120.00°
Atoms (fractional coordinates):
Nb  0.0000  0.0000  0.0000
In  0.3333  0.6667  0.5000
Se  0.3333  0.6667  0.1828
Se  0.3333  0.6667  0.8172

Computed properties:
Final energy (eV per atom): -27.41
Formation energy from raw total energies (eV/atom): -0.745


14.
A PBEsol-optimized structure of RbPtCl2. Source: the Alexandria database, functional SCAN.

Cell: 4.9725 4.9725 4.9725 Å, 60.00 60.00 60.00°
Atoms (fractional coordinates):
Rb  0.0000  0.0000  0.0000
Pt  0.5000  0.5000  0.5000
Cl  0.2500  0.2500  0.2500
Cl  0.7500  0.7500  0.7500

Computed properties:
Final energy (eV per atom): -26.96
Formation energy from raw total energies (eV/atom): -0.240


15.
A PBEsol-optimized structure of NaLaS2. Source: the Alexandria database, functional SCAN.

Cell: 7.2704 7.2704 7.2704 Å, 133.59 133.59 67.73°
Atoms (fractional coordinates):
Na  0.3750  0.6250  0.7500
Na  0.6250  0.3750  0.2500
La  0.1250  0.8750  0.2500
La  0.8750  0.1250  0.7500
S  0.1111  0.3611  0.7500
S  0.3611  0.1111  0.2500
S  0.6389  0.8889  0.7500
S  0.8889  0.6389  0.2500

Computed properties:
Final energy (eV per atom): -18.77
Formation energy from raw total energies (eV/atom): -2.125


16.
A PBEsol-optimized structure of Y2ZrTe. Source: the Alexandria database, functional SCAN.

Cell: 6.3147 6.3147 6.3147 Å, 147.00 129.35 61.79°
Atoms (fractional coordinates):
Y  0.0000  0.0000  0.0000
Y  0.7213  0.2213  0.5000
Zr  0.2612  0.7612  0.5000
Te  0.4772  0.4772  0.0000

Computed properties:
Final energy (eV per atom): -31.32
Formation energy from raw total energies (eV/atom): -0.411


17.
A PBEsol-optimized structure of Tl2PtWI. Source: the Alexandria database, functional SCAN.

Cell: 5.5046 5.5046 4.7335 Å, 90.00 90.00 90.00°
Atoms (fractional coordinates):
Tl  0.0000  0.5000  0.0000
Tl  0.5000  0.0000  0.0000
Pt  0.0000  0.0000  0.5000
W  0.0000  0.0000  0.0000
I  0.5000  0.5000  0.5000

Computed properties:
Final energy (eV per atom): -63.53
Formation energy from raw total energies (eV/atom): 0.739


18.
A PBEsol-optimized structure of MgTl2Cd. Source: the Alexandria database, functional SCAN.

Cell: 3.4271 3.4271 8.3955 Å, 90.00 90.00 90.00°
Atoms (fractional coordinates):
Mg  0.0000  0.0000  0.0000
Tl  0.0000  0.0000  0.5316
Tl  0.5000  0.5000  0.2437
Cd  0.5000  0.5000  0.7902

Computed properties:
Calculated formation energy (eV per atom): -0.028
Final energy (eV per atom): -45.05


19.
A PBEsol-optimized structure of LaMg2Cd2. Source: the Alexandria database, functional SCAN.

Cell: 7.1497 7.1497 7.1497 Å, 143.80 143.80 52.12°
Atoms (fractional coordinates):
La  0.0000  0.0000  0.0000
Mg  0.2500  0.7500  0.5000
Mg  0.7500  0.2500  0.5000
Cd  0.3923  0.3923  0.0000
Cd  0.6077  0.6077  0.0000

Computed properties:
Calculated formation energy (eV per atom): -0.340
Final energy (eV per atom): -23.12


20.
A PBEsol-optimized structure of LaBeS2Cl. Source: the Alexandria database, functional SCAN.

Cell: 4.5617 4.5617 4.3104 Å, 90.00 90.00 90.00°
Atoms (fractional coordinates):
La  0.0000  0.0000  0.0000
Be  0.5000  0.5000  0.5000
S  0.0000  0.5000  0.5000
S  0.5000  0.0000  0.5000
Cl  0.5000  0.5000  0.0000

Computed properties:
Final energy (eV per atom): -16.52
Formation energy from raw total energies (eV/atom): -1.584


21.
A PBEsol-optimized structure of Pd3RhSe. Source: the Alexandria database, functional SCAN.

Cell: 4.6910 4.6910 4.6910 Å, 90.00 90.00 90.00°
Atoms (fractional coordinates):
Pd  0.0000  0.0000  0.5000
Pd  0.0000  0.5000  0.0000
Pd  0.5000  0.0000  0.0000
Rh  0.0000  0.0000  0.0000
Se  0.5000  0.5000  0.5000

Computed properties:
Final energy (eV per atom): -29.28
Formation energy from raw total energies (eV/atom): 1.159


22.
A PBEsol-optimized structure of CuRuBr. Source: the Alexandria database, functional SCAN.

Cell: 4.2089 4.2089 4.2089 Å, 60.00 60.00 60.00°
Atoms (fractional coordinates):
Cu  0.0000  0.0000  0.0000
Ru  0.2500  0.2500  0.2500
Br  0.7500  0.7500  0.7500

Computed properties:
Final energy (eV per atom): -22.01
Formation energy from raw total energies (eV/atom): 1.156


23.
A PBEsol-optimized structure of Cr2MoPt. Source: the Alexandria database, functional SCAN.

Cell: 4.6696 4.6696 4.6696 Å, 133.02 133.02 68.62°
Atoms (fractional coordinates):
Cr  0.0000  0.0000  0.0000
Cr  0.7500  0.2500  0.5000
Mo  0.5000  0.5000  0.0000
Pt  0.2500  0.7500  0.5000

Computed properties:
Calculated formation energy (eV per atom): -0.173
Final energy (eV per atom): -35.63


24.
A PBEsol-optimized structure of Li2ScIn. Source: the Alexandria database, functional SCAN.

Cell: 10.2480 10.2480 10.2480 Å, 17.55 17.55 17.55°
Atoms (fractional coordinates):
Li  0.2461  0.2461  0.2461
Li  0.7539  0.7539  0.7539
Sc  0.0000  0.0000  0.0000
In  0.5000  0.5000  0.5000

Computed properties:
Calculated formation energy (eV per atom): 0.005
Final energy (eV per atom): -13.10